Entry 1:
Computed, not measured: crystalline NaTaCu2Re at its relaxed geometry at the PBE-GGA level of DFT.

Output
Space group   P4/mmm, No. 123
Calculated volume   16.4 A^3/atom
Crystal system   tetragonal
E_tot   -0.369 Ry per atom
Fermi-level density of states   3.3 states/eV/cell

Structure (POSCAR):
```
NaTaCu2Re
1.0
4.119 0.000 0.000
0.000 4.839 0.000
0.000 0.000 4.119
Re Na Cu Ta
1 1 2 1
Cartesian
0.000 2.419 0.000
0.000 0.000 0.000
0.000 0.000 2.059
2.059 0.000 0.000
2.059 2.419 2.059
```

=====

Entry 2:
Computed, not measured: crystalline TlAg at its relaxed geometry at the PBE-GGA level of DFT.

Output
Space group   Amm2, No. 38
Calculated volume   23.3 A^3/atom
Crystal system   orthorhombic
E_tot   -0.179 Ry per atom
Fermi-level density of states   0.7 states/eV/cell

Structure (POSCAR):
```
TlAg
1.0
3.375 -0.003 -0.037
1.684 2.924 -0.057
0.053 0.065 4.718
Tl Ag
1 1
Cartesian
2.879 0.986 4.004
1.169 1.932 1.651
```

=====

Entry 3:
Computed, not measured: crystalline RbTlAgHg at its relaxed geometry at the PBE-GGA level of DFT.

Output
Space group   F-43m, No. 216
Calculated volume   32.0 A^3/atom
Crystal system   cubic
E_tot   -0.116 Ry per atom
Fermi-level density of states   2.2 states/eV/cell

Structure (POSCAR):
```
RbTlAgHg
1.0
-4.880 -1.237 -2.585
-2.783 -4.745 1.330
-4.871 0.286 2.866
Rb Tl Hg Ag
1 1 1 1
Cartesian
-6.267 -2.848 0.805
0.000 0.000 0.000
-9.401 -4.271 1.208
-3.134 -1.424 0.403
```

=====

Entry 4:
Computed, not measured: crystalline ZnGaNi at its relaxed geometry at the PBE-GGA level of DFT.

Output
Space group   Amm2, No. 38
Calculated volume   15.4 A^3/atom
Crystal system   orthorhombic
E_tot   -0.267 Ry per atom
Fermi-level density of states   4.9 states/eV/cell

Structure (POSCAR):
```
ZnGaNi
1.0
-3.694 -1.352 1.447
1.530 -4.960 -0.729
3.119 -0.182 7.792
Zn Ga Ni
4 4 4
Cartesian
2.686 -0.157 6.711
1.892 -2.546 2.450
0.119 -0.791 5.636
-0.675 -3.180 1.376
-1.526 -0.695 1.526
0.799 -3.266 5.058
1.150 -0.067 2.874
3.475 -2.638 6.406
2.307 -1.377 4.604
3.057 -3.807 4.247
1.513 -3.766 0.344
0.733 -1.236 0.716
```

=====

Entry 5:
Computed, not measured: crystalline BeNi2Pt at its relaxed geometry at the PBE-GGA level of DFT.

Output
Space group   Pmmm, No. 47
Calculated volume   11.4 A^3/atom
Crystal system   orthorhombic
E_tot   -0.411 Ry per atom
Fermi-level density of states   4.4 states/eV/cell

Structure (POSCAR):
```
BeNi2Pt
1.0
2.862 0.000 0.000
0.000 3.880 0.000
0.000 0.000 4.122
Ni Pt Be
2 1 1
Cartesian
0.000 0.000 0.000
1.431 1.940 0.000
1.431 0.000 2.061
0.000 1.940 2.061
```

=====

Entry 6:
Computed, not measured: crystalline ScP2BrO at its relaxed geometry at the PBE-GGA level of DFT.

Output
Space group   P4/mmm, No. 123
Calculated volume   18.2 A^3/atom
Crystal system   tetragonal
E_tot   -0.314 Ry per atom
Fermi-level density of states   2.8 states/eV/cell
Offset from the most stable computed form   305.8 kJ/mol of formula units
Raw formation energy   485 meV per atom

Structure (POSCAR):
```
ScP2BrO
1.0
4.794 0.000 0.000
0.000 4.794 0.000
0.000 0.000 3.959
Sc P O Br
1 2 1 1
Cartesian
2.397 2.397 1.979
0.000 2.397 0.000
2.397 0.000 0.000
0.000 0.000 1.979
0.000 0.000 0.000
```